Here is a geometry-optimized PmAs2I8 structure from Alexandria via LeMat-Bulk. Energies are from PBE-GGA.

Lattice parameters (Å, degrees): 7.915 8.924 8.924 77.46 77.02 77.02
Each line ends with the local moment (μB).
Fractional positions:
As (0.390, 0.169, 0.169)  0.18
I (0.288, 0.786, 0.786)  0.01
I (0.712, 0.214, 0.214)  0.01
I (0.192, 0.349, 0.349)  0.01
As (0.610, 0.831, 0.831)  0.18
I (0.791, 0.731, 0.113)  0.03
I (0.808, 0.651, 0.651)  0.01
I (0.791, 0.113, 0.731)  0.03
I (0.209, 0.887, 0.269)  0.03
Pm (0.000, 0.000, 0.000)  0.00
I (0.209, 0.269, 0.887)  0.03

Results
Volume   53.559 Å³ per atom
Raw formation energy   -5.2 eV/f.u.
Symmetry   No. 12
M_tot   0.997 μB per cell
Mass density   3.693 Mg/m³
Density of states at the Fermi level   3.5 states/eV/f.u.

---

Here is a geometry-optimized TlFeRu2 structure from Alexandria via LeMat-Bulk. Energies are from PBE-GGA.

Lattice parameters (Å, degrees): 7.151 7.151 5.686 51.03 51.03 90.00
Fractional positions:
Fe (0.250, 0.750, 0.500)
Ru (0.875, 0.810, 0.750)
Fe (0.500, 0.500, 0.000)
Ru (0.190, 0.625, 0.250)
Ru (0.375, 0.440, 0.750)
Tl (0.750, 0.250, 0.500)
Tl (0.000, 0.000, 0.000)
Ru (0.560, 0.125, 0.250)

Results
Polymorph energy (0 for the lowest one)   444 meV per atom
Volume   16.617 Å³ per atom
Symmetry   No. 122
M_tot   0.000 μB per cell
ΔH_f (0 K)   0.85 eV per atom
Mass density   11.551 Mg/m³
Density of states at the Fermi level   6.8 states/eV/f.u.

---

Here is a geometry-optimized SrOs2Cl structure from Alexandria via LeMat-Bulk. Energies are from PBE-GGA.

Lattice parameters (Å, degrees): 4.781 4.781 4.781 60.00 60.00 60.00
Each line ends with the local moment (μB).
Fractional positions:
Os (0.250, 0.250, 0.250)  0.44
Os (0.750, 0.750, 0.750)  0.44
Cl (0.000, 0.000, 0.000)  0.05
Sr (0.500, 0.500, 0.500)  0.01

Results
Polymorph energy (0 for the lowest one)   2000 meV per atom
Volume   19.319 Å³ per atom
Raw formation energy   7.7 eV/f.u.
Symmetry   No. 225
M_tot   1.015 μB per cell
Mass density   10.820 Mg/m³
Density of states at the Fermi level   5.2 states/eV/f.u.

---

Here is a geometry-optimized Y3MnB structure from Alexandria via LeMat-Bulk. Energies are from PBE-GGA.

Lattice parameters (Å, degrees): 4.957 4.957 4.957 90.00 90.00 90.00
Each line ends with the local moment (μB).
Fractional positions:
Y (0.000, 0.500, 0.000)  -0.12
Y (0.000, 0.000, 0.500)  -0.09
B (0.000, 0.000, 0.000)  -0.09
Y (0.500, 0.000, 0.000)  -0.14
Mn (0.500, 0.500, 0.500)  0.17

Results
Polymorph energy (0 for the lowest one)   0 meV per atom
Volume   24.354 Å³ per atom
Symmetry   No. 221
M_tot   0.849 μB per cell
ΔH_f (0 K)   0.58 eV per atom
Mass density   4.534 Mg/m³
Density of states at the Fermi level   10.0 states/eV/f.u.

---

Here is a geometry-optimized LaCdP3 structure from Alexandria via LeMat-Bulk. Energies are from PBE-GGA.

Lattice parameters (Å, degrees): 5.445 5.445 5.445 90.00 90.00 90.00
Fractional positions:
La (0.000, 0.000, 0.000)
P (0.000, 0.500, 0.000)
Cd (0.500, 0.500, 0.500)
P (0.500, 0.000, 0.000)
P (0.000, 0.000, 0.500)

Results
Polymorph energy (0 for the lowest one)   634 meV per atom
Volume   32.282 Å³ per atom
Symmetry   No. 221
M_tot   0.000 μB per cell
ΔH_f (0 K)   0.82 eV per atom
Mass density   3.541 Mg/m³
Density of states at the Fermi level   3.4 states/eV/f.u.

---

Here is a geometry-optimized ScRh2W structure from Alexandria via LeMat-Bulk. Energies are from PBE-GGA.

Lattice parameters (Å, degrees): 4.466 4.466 4.466 60.00 60.00 60.00
Fractional positions:
Rh (0.250, 0.250, 0.250)
Rh (0.000, 0.000, 0.000)
W (0.750, 0.750, 0.750)
Sc (0.500, 0.500, 0.500)

Results
Polymorph energy (0 for the lowest one)   377 meV per atom
Volume   15.751 Å³ per atom
Symmetry   No. 216
M_tot   0.000 μB per cell
ΔH_f (0 K)   -0.06 eV per atom
Mass density   11.454 Mg/m³
Density of states at the Fermi level   6.9 states/eV/f.u.